## Ba2Sb2Au (GGA-PBE)

Data for a relaxed Ba2Sb2Au crystal.

The space group is P4/mbm (No. 127) and the conventional cell measures 8.2518, 8.2518 and 5.1085 Å, with angles of 90.00, 90.00 and 90.00 degrees. The inequivalent atoms are Ba at (0.1778, 0.3222, 0.0000), Sb at (0.1255, 0.6255, 0.5000) and Au at (0.0000, 0.0000, 0.5000).

As for the density of states at the Fermi level: 4.076 states/eV/f.u. The calculation puts the uncorrected formation energy at -3.49 eV per formula unit. Its final energy is -3.771 eV per atom.